Be2GeS | PBE | optimized geometry

a b c (Å): 5.314 5.314 9.099
angles (deg): 90.00 90.00 90.00
Space group I-42d (No. 122)
Unique sites:
Be 0.209 0.250 0.125 [8 per cell]
Ge 0.000 0.000 0.500 [4 per cell]
S 0.000 0.000 0.000 [4 per cell]

Computed properties:
**E above lowest polymorph**: 0 meV/atom
**Crystal system**: tetragonal
**Energy relative to the elements, uncorrected**: -36 kJ/mol of formula units

GaBiRh2 | PBE | optimized geometry

a b c (Å): 6.500 6.500 6.500
angles (deg): 90.00 90.00 90.00
Space group Fm-3m (No. 225)
Unique sites:
Ga 0.000 0.000 0.000 [4 per cell]
Bi 0.000 0.000 0.500 [4 per cell]
Rh 0.250 0.250 0.250 [8 per cell]

Computed properties:
**Crystal system**: cubic
**Energy relative to the elements**: -0.132 eV/atom

no.,final energy (eV/atom),size of the total moment (μB/f.u.)
1,-4.14,0.00
2,-5.53,0.00